Material: BaMn2AuBr
Method: DFT, PBE
State: optimized geometry

Properties
Energy relative to the elements, uncorrected = 479 meV per atom
Density of states at the Fermi level = 0.923 states/eV per atom

a b c (Å): 4.799 4.799 6.167
angles (deg): 90.00 90.00 90.00
Fractional positions:
Ba 0.000 0.000 0.000
Mn 0.000 0.500 0.500
Mn 0.500 0.000 0.500
Au 0.500 0.500 0.000
Br 0.000 0.000 0.500